Material: CaY2Cu
Method: DFT, PBE-GGA
State: relaxed

```
CaY2Cu
1.0
-1.2486 -3.2378 0.7025
2.1985 -1.3714 -2.4129
6.4993 -1.0872 6.5397
Ca Y Cu
1 2 1
Cartesian
2.0998 -2.5764 0.7797 Ca
3.7096 -0.6206 3.7327 Y
6.0393 -1.0103 6.0768 Y
5.3494 -3.1200 4.0496 Cu
```

Calculated formation energy, eV/atom: -0.053
Symmetry: P4/mmm, No. 123
Electronic total energy, eV/atom: -4.809
E above lowest polymorph, kJ/mol of atoms: 0.0
Fermi-level density of states, states/eV/cell: 4.2

Material: CaY2Cu
Method: DFT, PBE-GGA
State: relaxed

```
CaY2Cu
1.0
6.6657 0.0144 -0.0015
5.7140 3.4324 -0.0015
2.3017 0.6409 4.9966
Y Cu Ca
2 1 1
Cartesian
7.8664 2.1902 2.2360 Y
11.8539 3.3005 0.2577 Y
3.6703 1.0219 1.2484 Cu
11.0110 3.0658 3.7451 Ca
```

Calculated formation energy, eV/atom: -0.006
Symmetry: Immm, No. 71
Electronic total energy, eV/atom: -4.763
E above lowest polymorph, kJ/mol of atoms: 4.5
Fermi-level density of states, states/eV/cell: 5.0

Material: CaY2Cu
Method: DFT, PBE-GGA
State: relaxed

```
CaY2Cu
1.0
0.0000 3.7745 3.7745
3.7745 0.0000 3.7745
3.7745 3.7745 0.0000
Y Ca Cu
2 1 1
Cartesian
1.8873 1.8873 1.8873 Y
5.6618 5.6618 5.6618 Y
0.0000 0.0000 0.0000 Ca
3.7745 3.7745 3.7745 Cu
```

Calculated formation energy, eV/atom: 0.223
Symmetry: Fm-3m, No. 225
Electronic total energy, eV/atom: -4.534
E above lowest polymorph, kJ/mol of atoms: 26.6
Fermi-level density of states, states/eV/cell: 6.2